The following is a DFT calculation (GGA-PBE) of crystalline Er6IrRh5 at its relaxed geometry.

Values from the calculation:
density = 12.09 g cm⁻³
formation enthalpy at 0 K = -937 meV/atom

Lattice parameters (Å, degrees): 4.7774 6.8521 7.5565 90.00 108.32 90.00
Closest atoms and distances in Å follow each position.
Space group P2/m (No. 10)
One atom of each set of equivalent atoms:
Er: 0.0000 0.2489 0.0000  2 Ir 2.94, 6 Rh 2.94-2.95
Er: 0.3340 0.2498 0.6681  1 Ir 2.93, 7 Rh 2.93-2.95
Ir: 0.5000 0.0000 0.0000  8 Er 2.93-2.94
Rh: 0.1666 0.5000 0.3332  8 Er 2.94-2.95
Rh: 0.1680 0.0000 0.3361  8 Er 2.93-2.95
Rh: 0.5000 0.5000 0.0000  8 Er 2.93-2.94

=====

The following is a DFT calculation (GGA-PBE) of crystalline Er2IrRh3 at its relaxed geometry.

Values from the calculation:
density = 13.03 g cm⁻³
energy above the lowest structure with this stoichiometry = 0.0 meV per atom
formation enthalpy at 0 K = -780 meV/atom

Lattice parameters (Å, degrees): 5.3143 5.3143 13.0628 90.00 90.00 120.00
Closest atoms and distances in Å follow each position.
Space group R-3m (No. 166, hexagonal axes)
One atom of each set of equivalent atoms:
Er: 0.0000 0.0000 0.1255  3 Ir 3.12, 9 Rh 3.12, 4 Er 3.25-3.28
Ir: 0.0000 0.0000 0.5000  6 Rh 2.66
Rh: 0.0000 0.5000 0.0000  4 Rh 2.66, 2 Ir 2.66

=====

The following is a DFT calculation (GGA-PBE) of crystalline Er3Ir5Rh12 at its relaxed geometry.

Values from the calculation:
density = 10.94 g cm⁻³
formation enthalpy at 0 K = 538 meV/atom

Lattice parameters (Å, degrees): 14.8513 14.8513 14.8513 90.00 90.00 90.00
Closest atoms and distances in Å follow each position.
Space group Ia-3d (No. 230)
One atom of each set of equivalent atoms:
Er: 0.0000 0.2500 0.1250  8 Rh 2.69-2.80
Ir: 0.0000 0.0000 0.0000  6 Rh 2.47
Ir: 0.0000 0.2500 0.3750  4 Rh 2.43
Rh: 0.0176 0.0711 0.6491  2 Ir 2.43-2.47, 1 Er 2.69

=====

The following is a DFT calculation (GGA-PBE) of crystalline ErIrRh2 at its relaxed geometry.

Values from the calculation:
density = 10.61 g cm⁻³
energy above the lowest structure with this stoichiometry = 698.3 meV per atom
formation enthalpy at 0 K = 176 meV/atom

Lattice parameters (Å, degrees): 5.4125 8.4188 7.7670 90.00 90.00 90.00
Closest atoms and distances in Å follow each position.
Space group Pmma (No. 51)
One atom of each set of equivalent atoms:
Er: 0.2500 0.0000 0.1609  3 Ir 2.73-2.83, 2 Rh 2.96
Er: 0.2500 0.5000 0.3221  2 Ir 2.73, 4 Rh 2.81-2.84
Ir: 0.2500 0.0000 0.7960  4 Rh 2.67-2.78, 3 Er 2.73-2.83
Ir: 0.2500 0.5000 0.7268  4 Rh 2.40-2.52
Rh: 0.0000 0.0000 0.5000  6 Rh 2.60-2.71, 2 Ir 2.67
Rh: 0.0000 0.5000 0.0000  2 Ir 2.52, 2 Rh 2.71
Rh: 0.2500 0.2555 0.5686  1 Ir 2.40, 2 Rh 2.60

=====

The following is a DFT calculation (GGA-PBE) of crystalline Er4IrRh at its relaxed geometry.

Values from the calculation:
density = 10.88 g cm⁻³
formation enthalpy at 0 K = -711 meV/atom

Lattice parameters (Å, degrees): 8.8803 12.9540 6.1979 90.00 124.36 90.00
Closest atoms and distances in Å follow each position.
Space group C2/c (No. 15)
One atom of each set of equivalent atoms:
Er: 0.1341 0.1803 0.1033  2 Ir 2.89-2.98, 2 Rh 2.94-3.00
Er: 0.1937 0.4383 0.2633  2 Ir 2.80-3.07, 2 Rh 2.81-2.88
Ir: 0.0000 0.3631 0.7500  8 Er 2.80-3.07
Rh: 0.0000 0.0009 0.7500  8 Er 2.81-3.00, 2 Rh 3.10

=====

The following is a DFT calculation (GGA-PBE) of crystalline Er4Ir2Rh at its relaxed geometry.

Values from the calculation:
density = 12.46 g cm⁻³
formation enthalpy at 0 K = -895 meV/atom

Lattice parameters (Å, degrees): 4.7688 4.7688 23.4711 90.00 90.00 120.00
Closest atoms and distances in Å follow each position.
Space group R-3m (No. 166, hexagonal axes)
One atom of each set of equivalent atoms:
Er: 0.0000 0.0000 0.1237  4 Ir 2.91-2.96, 3 Rh 2.93
Er: 0.0000 0.0000 0.3742  4 Ir 2.92-2.93, 1 Rh 2.95
Ir: 0.0000 0.0000 0.2498  8 Er 2.91-2.96
Rh: 0.0000 0.0000 0.5000  8 Er 2.93-2.95

=====

The following is a DFT calculation (GGA-PBE) of crystalline ErScIrRh at its relaxed geometry.

Values from the calculation:
density = 11.56 g cm⁻³
formation enthalpy at 0 K = -958 meV/atom

Lattice parameters (Å, degrees): 6.6307 6.6307 6.6307 90.00 90.00 90.00
Closest atoms and distances in Å follow each position.
Space group F-43m (No. 216)
One atom of each set of equivalent atoms:
Er: 0.0000 0.0000 0.0000  4 Ir 2.87, 4 Rh 2.87
Sc: 0.0000 0.0000 0.5000  4 Ir 2.87, 4 Rh 2.87
Ir: 0.2500 0.2500 0.2500  4 Sc 2.87, 4 Er 2.87
Rh: 0.2500 0.2500 0.7500  4 Er 2.87, 4 Sc 2.87

=====

The following is a DFT calculation (GGA-PBE) of crystalline Er2Si4Ir3Rh at its relaxed geometry.

Values from the calculation:
uncorrected formation energy = -1.063 eV/atom
density = 11.22 g cm⁻³

Lattice parameters (Å, degrees): 4.1140 4.1140 9.8459 90.00 90.00 90.00
Closest atoms and distances in Å follow each position.
Space group P-4m2 (No. 115)
One atom of each set of equivalent atoms:
Er: 0.0000 0.5000 0.2453  6 Ir 3.12-3.24, 8 Si 3.16-3.17, 2 Rh 3.24
Si: 0.0000 0.0000 0.0000  4 Ir 2.42
Si: 0.0000 0.5000 0.6306  3 Ir 2.36-2.43, 2 Rh 2.43
Si: 0.5000 0.5000 0.0000  4 Ir 2.42
Ir: 0.0000 0.5000 0.8704  5 Si 2.36-2.42
Ir: 0.5000 0.5000 0.5000  4 Si 2.43
Rh: 0.0000 0.0000 0.5000  4 Si 2.43